A plane-wave DFT calculation with PBE+U was carried out for Li7Mn2Co3O12 after structural relaxation. Values from VASP.

Results
D(E_F) in states/eV/cell: 0.3
ΔE to the lowest computed polymorph in meV/atom: 63
Volume in Å³/cell: 216.0
Space group: No. 1

Geometry as Quantum ESPRESSO input:
```
&SYSTEM
  ibrav = 0, nat = 24, ntyp = 4
/
ATOMIC_SPECIES
Co 58.93 Co.upf
Li 6.94 Li.upf
O 16.00 O.upf
Mn 54.94 Mn.upf
CELL_PARAMETERS angstrom
-0.227 1.583 2.515
-7.353 -2.548 -0.312
6.022 -6.757 4.499
ATOMIC_POSITIONS crystal
Co 0.992 0.988 0.495
Co 0.317 0.662 0.832
Co 0.654 0.332 0.663
Li 0.473 0.997 0.261
Li 0.505 0.001 0.746
Li 0.188 0.347 0.416
Li 0.829 0.671 0.088
Li 0.168 0.329 0.914
Li 0.318 0.662 0.341
Li 0.841 0.667 0.574
O 0.228 0.500 0.636
O 0.236 0.482 0.130
O 0.082 0.161 0.690
O 0.927 0.857 0.312
O 0.618 0.166 0.469
O 0.131 0.184 0.196
O 0.383 0.828 0.034
O 0.932 0.824 0.801
O 0.632 0.166 0.967
O 0.747 0.488 0.362
O 0.398 0.849 0.539
O 0.698 0.497 0.864
Mn 0.689 0.346 0.172
Mn 0.010 0.997 0.998
```